Model A:
A plane-wave DFT calculation with PBE was carried out for crystalline ScUSe4 at its relaxed geometry.

The structure in POSCAR format:
```
ScUSe4
1.0
6.641 0.000 0.000
0.000 4.027 0.000
-0.072 0.000 6.793
Sc U Se
1 1 4
Cartesian
0.000 0.000 0.000
-0.036 2.013 3.396
1.430 2.013 5.683
1.515 0.000 2.262
5.054 0.000 4.531
5.139 2.013 1.110
```

Properties
- spin magnetization (μB/cell) = 1.000
- space-group type = P2/m
- calculated volume (Å³/atom) = 30.27
- Fermi-level density of states (states/eV/atom) = 0.81

---

Model B:
A plane-wave DFT calculation with PBE was carried out for crystalline ScUSe4 at its relaxed geometry.

The structure in POSCAR format:
```
ScUSe4
1.0
4.512 -4.619 0.000
4.512 4.619 0.000
0.000 0.000 4.102
Sc U Se
1 1 4
Cartesian
0.000 0.000 0.000
4.512 0.000 2.051
1.766 0.000 2.051
4.512 1.850 0.000
4.512 -1.850 0.000
7.258 0.000 2.051
```

Properties
- spin magnetization (μB/cell) = 1.019
- space-group type = Cmmm
- calculated volume (Å³/atom) = 28.49
- Fermi-level density of states (states/eV/atom) = 0.90

---

Structures ranked by computed energy, the most stable listed first: model A, model B.